! Sc2AgSe (PBE, optimized geometry); values from VASP
&SYSTEM
  ibrav = 0, nat = 4, ntyp = 3
/
ATOMIC_SPECIES
Ag 107.87 Ag.upf
Sc 44.96 Sc.upf
Se 78.96 Se.upf
CELL_PARAMETERS angstrom
5.171 -0.021 0.002
1.031 5.067 -0.002
-2.523 -3.233 3.149
ATOMIC_POSITIONS angstrom
Ag 0.804 2.179 1.574
Sc 6.079 4.947 0.000
Sc 3.223 2.623 0.000
Se 2.874 -0.365 1.576
! Total energy = -5.357 eV/atom
! Fermi-level density of states = 3.50 states/eV/cell
! Formation energy from raw total energies = -13.99 kcal/mol of atoms